# TbCe3Co8

Crystalline TbCe3Co8 at its relaxed geometry (PBE, the Alexandria database).

Summary:
- E (Ry/atom) = -0.5015
- volume (Å³ per cell) = 531.9
- DFT formation energy (eV/f.u.) = -2.60

CIF file:
```
data_TbCe3Co8
_cell_length_a 5.0077
_cell_length_b 5.0077
_cell_length_c 24.4930
_cell_angle_alpha 90.00
_cell_angle_beta 90.00
_cell_angle_gamma 120.00
_space_group_name_H-M_alt 'R 3 m'
_space_group_IT_number 160
_space_group_name_Hall 'R 3 -2"'
loop_
_atom_site_label
_atom_site_type_symbol
_atom_site_fract_x
_atom_site_fract_y
_atom_site_fract_z
Tb1 Tb 0.0000 0.0000 0.0000
Ce1 Ce 0.0000 0.0000 0.1263
Ce2 Ce 0.0000 0.0000 0.4973
Ce3 Ce 0.0000 0.0000 0.6214
Co1 Co 0.0000 0.0000 0.3121
Co2 Co 0.0000 0.0000 0.8115
Co3 Co 0.9996 0.4998 0.0615
Co4 Co 0.0007 0.5003 0.5617
```